# TiMnC2O

A relaxed TiMnC2O crystal (GGA+U, Alexandria).

abc: 4.070 3.833 4.070
angles: 90.00 90.00 90.00
Last column: magnetic moment on the atom in μB.
Positions (direct):
C1 0.000 0.000 0.500  -0.28
C2 0.500 0.000 0.000  -0.21
Mn1 0.500 0.500 0.500  4.58
O1 0.000 0.500 0.000  -0.25
Ti1 0.000 0.000 0.000  0.04

Results
Theoretical density, g/cm3: 3.7
E_tot, eV per cell: -35.8
Total moment, μB per cell: 3.60